No. 1
Li2Sn2Pd3: relaxed, PBE.

Unit cell a=7.6290 b=7.6290 c=7.6290 alpha=33.87 beta=33.87 gamma=33.87
Last column: nearest neighbours and their distance in Å.
Sites, in units of the cell vectors:
Pd: 0.8792 0.8792 0.8792  4 Li 2.65-2.68, 4 Sn 2.71-2.77
Pd: 0.6257 0.6257 0.6257  4 Sn 2.75-2.78, 4 Li 2.78-2.79, 3 Pd 3.07
Pd: 0.3708 0.3708 0.3708  4 Sn 2.66-2.72, 4 Li 2.76-2.79
Li: 0.7549 0.7549 0.7549  5 Pd 2.68-2.79
Li: 0.2425 0.2425 0.2425  7 Pd 2.65-2.78
Sn: 0.0050 0.0050 0.0050  7 Pd 2.66-2.75
Sn: 0.4968 0.4968 0.4968  5 Pd 2.72-2.78, 3 Li 3.04

Raw total energy in eV/f.u.: -31.67
SG: R3m

No. 2
CdFeCoPb: relaxed, PBE.

Unit cell a=4.5450 b=4.5450 c=4.5450 alpha=60.00 beta=60.00 gamma=60.00
Last column: nearest neighbours and their distance in Å.
Sites, in units of the cell vectors:
Co: 0.7500 0.7500 0.7500  4 Cd 2.78, 4 Pb 2.78
Fe: 0.2500 0.2500 0.2500  4 Pb 2.78, 4 Cd 2.78
Cd: 0.5000 0.5000 0.5000  4 Co 2.78, 4 Fe 2.78
Pb: 0.0000 0.0000 0.0000  4 Fe 2.78, 4 Co 2.78

Raw total energy in eV/f.u.: -17.92
SG: F-43m
Relative energy among the computed polymorphs in eV per atom: 0.0000

No. 3
ZrHgBi: relaxed, PBE.

Unit cell a=4.9595 b=4.9595 c=4.9595 alpha=60.00 beta=60.00 gamma=60.00
Last column: nearest neighbours and their distance in Å.
Sites, in units of the cell vectors:
Hg: 0.0000 0.0000 0.0000  4 Zr 3.04, 4 Bi 3.04
Zr: 0.7500 0.7500 0.7500  4 Hg 3.04
Bi: 0.2500 0.2500 0.2500  4 Hg 3.04

Raw total energy in eV/f.u.: -11.72
SG: F-43m

No. 4
Co7Ni8: relaxed, PBE.

Unit cell a=8.5241 b=8.5241 c=4.5164 alpha=90.00 beta=90.00 gamma=90.00
Last column: nearest neighbours and their distance in Å.
Sites, in units of the cell vectors:
Ni: 0.2358 0.4359 0.5000  5 Co 2.32-2.43, 5 Ni 2.41-2.49
Ni: 0.2642 0.9359 0.0000  5 Co 2.32-2.43, 5 Ni 2.41-2.49
Ni: 0.1826 0.1826 0.2506  6 Ni 2.25-2.49, 1 Co 2.48
Ni: 0.3174 0.6826 0.2494  6 Ni 2.25-2.49, 1 Co 2.48
Ni: 0.9359 0.2642 0.0000  5 Co 2.32-2.43, 5 Ni 2.41-2.49
Ni: 0.6826 0.3174 0.2494  6 Ni 2.25-2.49, 1 Co 2.48
Ni: 0.1826 0.1826 0.7494  6 Ni 2.25-2.49, 1 Co 2.48
Ni: 0.4359 0.2358 0.5000  5 Co 2.32-2.43, 5 Ni 2.41-2.49
Ni: 0.8174 0.8174 0.7494  6 Ni 2.25-2.49, 1 Co 2.48
Ni: 0.7358 0.0641 0.0000  5 Co 2.32-2.43, 5 Ni 2.41-2.49
Ni: 0.5641 0.7642 0.5000  5 Co 2.32-2.43, 5 Ni 2.41-2.49
Ni: 0.6826 0.3174 0.7506  6 Ni 2.25-2.49, 1 Co 2.48
Ni: 0.8174 0.8174 0.2506  6 Ni 2.25-2.49, 1 Co 2.48
Ni: 0.0641 0.7358 0.0000  5 Co 2.32-2.43, 5 Ni 2.41-2.49
Ni: 0.7642 0.5641 0.5000  5 Co 2.32-2.43, 5 Ni 2.41-2.49
Ni: 0.3174 0.6826 0.7506  6 Ni 2.25-2.49, 1 Co 2.48
Co: 0.4021 0.4021 0.0000  5 Co 2.34-2.55
Co: 0.6341 0.0378 0.5000  2 Co 2.34-2.37, 4 Ni 2.39-2.43
Co: 0.5000 0.5000 0.5000  8 Ni 2.32-2.48, 4 Co 2.55
Co: 0.0000 0.0000 0.0000  8 Ni 2.32-2.48, 4 Co 2.55
Co: 0.9021 0.0979 0.5000  5 Co 2.34-2.55
Co: 0.0378 0.6341 0.5000  2 Co 2.34-2.37, 4 Ni 2.39-2.43
Co: 0.9622 0.3659 0.5000  2 Co 2.34-2.37, 4 Ni 2.39-2.43
Co: 0.5378 0.8659 0.0000  2 Co 2.34-2.37, 4 Ni 2.39-2.43
Co: 0.4622 0.1341 0.0000  2 Co 2.34-2.37, 4 Ni 2.39-2.43
Co: 0.5979 0.5979 0.0000  5 Co 2.34-2.55
Co: 0.0979 0.9021 0.5000  5 Co 2.34-2.55
Co: 0.1341 0.4622 0.0000  2 Co 2.34-2.37, 4 Ni 2.39-2.43
Co: 0.8659 0.5378 0.0000  2 Co 2.34-2.37, 4 Ni 2.39-2.43
Co: 0.3659 0.9622 0.5000  2 Co 2.34-2.37, 4 Ni 2.39-2.43

Raw total energy in eV/f.u.: -92.98
SG: P4_2/mnm
Relative energy among the computed polymorphs in eV per atom: 0.0042
DFT formation energy in eV/atom: 0.087

No. 5
Gd2MgCd: relaxed, PBE.

Unit cell a=5.3085 b=5.3085 c=3.8361 alpha=90.00 beta=90.00 gamma=90.00
Last column: nearest neighbours and their distance in Å.
Sites, in units of the cell vectors:
Gd: 0.0000 0.5000 0.0000  4 Cd 3.27, 4 Mg 3.27
Gd: 0.5000 0.0000 0.0000  4 Cd 3.27, 4 Mg 3.27
Cd: 0.0000 0.0000 0.5000  8 Gd 3.27
Mg: 0.5000 0.5000 0.5000  8 Gd 3.27

Raw total energy in eV/f.u.: -12.59
SG: P4/mmm
Relative energy among the computed polymorphs in eV per atom: 0.0000

No. 6
Cu15As: relaxed, PBE.

Unit cell a=3.6081 b=3.6047 c=42.0917 alpha=90.00 beta=90.00 gamma=90.00
Last column: nearest neighbours and their distance in Å.
Sites, in units of the cell vectors:
Cu: 0.2500 0.5000 0.8224  4 As 2.55, 4 Cu 2.58-2.59
Cu: 0.2500 0.0000 0.5214  12 Cu 2.55-2.56
Cu: 0.7500 0.0000 0.5644  12 Cu 2.55-2.56
Cu: 0.2500 0.0000 0.6073  12 Cu 2.55-2.56
Cu: 0.2500 0.5000 0.3927  12 Cu 2.55-2.56
Cu: 0.7500 0.0000 0.3070  12 Cu 2.53-2.55
Cu: 0.7500 0.0000 0.4786  12 Cu 2.55-2.56
Cu: 0.2500 0.0000 0.4356  12 Cu 2.55-2.56
Cu: 0.7500 0.0000 0.7358  12 Cu 2.54-2.55
Cu: 0.7500 0.5000 0.4357  12 Cu 2.55
Cu: 0.7500 0.0000 0.6503  12 Cu 2.54-2.56
Cu: 0.7500 0.5000 0.7784  10 Cu 2.54-2.59, 2 As 2.64
Cu: 0.2500 0.5000 0.3070  12 Cu 2.53-2.55
Cu: 0.2500 0.0000 0.2642  12 Cu 2.54-2.55
Cu: 0.7500 0.5000 0.2648  12 Cu 2.53-2.56
Cu: 0.7500 0.0000 0.2216  10 Cu 2.54-2.58, 2 As 2.64
Cu: 0.2500 0.5000 0.5643  12 Cu 2.55
Cu: 0.7500 0.5000 0.5214  12 Cu 2.55
Cu: 0.2500 0.5000 0.2216  10 Cu 2.54-2.59, 2 As 2.64
Cu: 0.7500 0.5000 0.6073  12 Cu 2.55-2.56
Cu: 0.2500 0.5000 0.6500  12 Cu 2.55
Cu: 0.7500 0.5000 0.6930  12 Cu 2.53-2.55
Cu: 0.7500 0.5000 0.3500  12 Cu 2.55
Cu: 0.2500 0.5000 0.7352  12 Cu 2.53-2.56
Cu: 0.2500 0.5000 0.4786  12 Cu 2.55
Cu: 0.2500 0.0000 0.7784  10 Cu 2.54-2.58, 2 As 2.64
Cu: 0.2500 0.0000 0.3497  12 Cu 2.54-2.56
Cu: 0.2500 0.0000 0.6930  12 Cu 2.53-2.55
Cu: 0.7500 0.5000 0.1776  4 As 2.55, 4 Cu 2.58-2.59
Cu: 0.7500 0.0000 0.3927  12 Cu 2.55-2.56
As: 0.2500 0.0000 0.1758  8 Cu 2.55-2.64
As: 0.7500 0.0000 0.8242  8 Cu 2.55-2.64

Raw total energy in eV/f.u.: -59.90
SG: Pmma
Relative energy among the computed polymorphs in eV per atom: 0.0000